Version 1
{"formula": "LiAlF2", "functional": "PBE", "state": "relaxed", "magmom_total_mub_per_fu": 0.00, "cell": [[1.439, 0.831, 6.007], [-1.439, 0.831, 6.007], [0.000, -1.662, 6.007]], "species": ["Li", "Al", "F", "F"], "frac_coords": [[0.000, 0.000, 0.000], [0.500, 0.500, 0.500], [0.396, 0.396, 0.396], [0.604, 0.604, 0.604]]}

---

Version 2
{"formula": "LiAlF2", "functional": "PBE", "state": "relaxed", "magmom_total_mub_per_fu": 0.00, "cell": [[-2.549, 2.549, 4.489], [2.549, -2.549, 4.489], [2.549, 2.549, -4.489]], "species": ["Li", "Li", "Al", "Al", "F", "F", "F", "F"], "frac_coords": [[0.000, 0.000, 0.000], [0.750, 0.250, 0.500], [0.250, 0.750, 0.500], [0.500, 0.500, 0.000], [0.046, 0.625, 0.921], [0.375, 0.296, 0.421], [0.704, 0.125, 0.079], [0.875, 0.954, 0.579]]}

---

version 1 ends up most stable, edging out the next structure by 0.499 eV/atom.

---

Version 1
{"formula": "LiAlF2", "functional": "PBE", "state": "relaxed", "magmom_total_mub_per_fu": 0.00, "cell": [[0.000, 2.983, 2.983], [2.983, 0.000, 2.983], [2.983, 2.983, 0.000]], "species": ["Li", "Al", "F", "F"], "frac_coords": [[0.000, 0.000, 0.000], [0.500, 0.500, 0.500], [0.250, 0.250, 0.250], [0.750, 0.750, 0.750]]}

---

Version 2
{"formula": "LiAlF2", "functional": "PBE", "state": "relaxed", "magmom_total_mub_per_fu": 0.00, "cell": [[1.996, 1.152, 5.676], [-1.996, 1.152, 5.676], [0.000, -2.304, 5.676]], "species": ["Li", "Al", "F", "F"], "frac_coords": [[0.000, 0.000, 0.000], [0.500, 0.500, 0.500], [0.102, 0.102, 0.102], [0.898, 0.898, 0.898]]}

---

version 2 ends up most stable, edging out the next structure by 0.112 eV/atom.

---

Version 1
{"formula": "LiAlN2F", "functional": "PBE", "state": "relaxed", "magmom_total_mub_per_fu": 1.05, "cell": [[3.741, 0.000, 0.000], [0.000, 3.741, 0.000], [0.000, 0.000, 3.945]], "species": ["Li", "Al", "N", "N", "F"], "frac_coords": [[0.000, 0.000, 0.000], [0.500, 0.500, 0.500], [0.000, 0.500, 0.500], [0.500, 0.000, 0.500], [0.500, 0.500, 0.000]]}

---

Version 2
{"formula": "LiAlN2F", "functional": "PBE", "state": "relaxed", "magmom_total_mub_per_fu": 0.00, "cell": [[3.580, 0.000, 0.000], [0.000, 3.580, 0.000], [0.000, 0.000, 3.535]], "species": ["Li", "Al", "N", "N", "F"], "frac_coords": [[0.000, 0.000, 0.000], [0.500, 0.500, 0.500], [0.000, 0.500, 0.000], [0.500, 0.000, 0.000], [0.000, 0.000, 0.500]]}

---

version 1 ends up most stable, edging out the next structure by 1.000 eV/atom.

---

Version 1
{"formula": "MgAl3F", "functional": "PBE", "state": "relaxed", "magmom_total_mub_per_fu": 0.00, "cell": [[5.170, 0.000, 0.000], [0.000, 5.170, 0.000], [0.000, 0.000, 5.170]], "species": ["Mg", "Al", "Al", "Al", "F"], "frac_coords": [[0.000, 0.000, 0.000], [0.000, 0.000, 0.500], [0.000, 0.500, 0.000], [0.500, 0.000, 0.000], [0.500, 0.500, 0.500]]}

---

Version 2
{"formula": "MgAl3F", "functional": "PBE", "state": "relaxed", "magmom_total_mub_per_fu": 0.00, "cell": [[4.525, 0.000, 0.000], [0.000, 4.525, 0.000], [0.000, 0.000, 4.525]], "species": ["Mg", "Al", "Al", "Al", "F"], "frac_coords": [[0.000, 0.000, 0.000], [0.000, 0.500, 0.500], [0.500, 0.000, 0.500], [0.500, 0.500, 0.000], [0.500, 0.500, 0.500]]}

---

version 2 ends up most stable, edging out the next structure by 0.757 eV/atom.

---

Version 1
{"formula": "Mg2AlF", "functional": "PBE", "state": "relaxed", "magmom_total_mub_per_fu": 0.00, "cell": [[-3.248, 3.248, 3.558], [3.248, -3.248, 3.558], [3.248, 3.248, -3.558]], "species": ["Mg", "Mg", "Mg", "Mg", "Al", "Al", "F", "F"], "frac_coords": [[0.031, 0.625, 0.906], [0.375, 0.281, 0.406], [0.719, 0.125, 0.094], [0.875, 0.969, 0.594], [0.250, 0.750, 0.500], [0.500, 0.500, 0.000], [0.000, 0.000, 0.000], [0.750, 0.250, 0.500]]}

---

Version 2
{"formula": "Mg2AlF", "functional": "PBE", "state": "relaxed", "magmom_total_mub_per_fu": 0.00, "cell": [[0.000, 3.360, 3.360], [3.360, 0.000, 3.360], [3.360, 3.360, 0.000]], "species": ["Mg", "Mg", "Al", "F"], "frac_coords": [[0.250, 0.250, 0.250], [0.750, 0.750, 0.750], [0.000, 0.000, 0.000], [0.500, 0.500, 0.500]]}

---

version 1 ends up most stable, edging out the next structure by 0.429 eV/atom.

---

Version 1
{"formula": "MgAlF3", "functional": "PBE", "state": "relaxed", "magmom_total_mub_per_fu": 0.00, "cell": [[4.054, 0.000, 0.000], [0.000, 4.054, 0.000], [0.000, 0.000, 4.054]], "species": ["Mg", "Al", "F", "F", "F"], "frac_coords": [[0.000, 0.000, 0.000], [0.500, 0.500, 0.500], [0.000, 0.000, 0.500], [0.000, 0.500, 0.000], [0.500, 0.000, 0.000]]}

---

Version 2
{"formula": "MgAlF3", "functional": "PBE", "state": "relaxed", "magmom_total_mub_per_fu": 0.00, "cell": [[4.051, 0.000, 0.000], [0.000, 4.051, 0.000], [0.000, 0.000, 4.051]], "species": ["Mg", "Al", "F", "F", "F"], "frac_coords": [[0.000, 0.000, 0.000], [0.500, 0.500, 0.500], [0.000, 0.500, 0.500], [0.500, 0.000, 0.500], [0.500, 0.500, 0.000]]}

---

version 1 ends up most stable, edging out the next structure by 0.465 eV/atom.

---

Version 1
{"formula": "Mg3AlF", "functional": "PBE", "state": "relaxed", "magmom_total_mub_per_fu": 0.00, "cell": [[5.178, 0.000, 0.000], [0.000, 5.178, 0.000], [0.000, 0.000, 5.178]], "species": ["Mg", "Mg", "Mg", "Al", "F"], "frac_coords": [[0.000, 0.000, 0.500], [0.000, 0.500, 0.000], [0.500, 0.000, 0.000], [0.000, 0.000, 0.000], [0.500, 0.500, 0.500]]}

---

Version 2
{"formula": "Mg3AlF", "functional": "PBE", "state": "relaxed", "magmom_total_mub_per_fu": 0.00, "cell": [[4.498, 0.000, 0.000], [0.000, 4.498, 0.000], [0.000, 0.000, 4.498]], "species": ["Mg", "Mg", "Mg", "Al", "F"], "frac_coords": [[0.000, 0.000, 0.500], [0.000, 0.500, 0.000], [0.500, 0.000, 0.000], [0.500, 0.500, 0.500], [0.000, 0.000, 0.000]]}

---

version 2 ends up most stable, edging out the next structure by 0.536 eV/atom.

---

Version 1
{"formula": "MgAlF2", "functional": "PBE", "state": "relaxed", "magmom_total_mub_per_fu": 0.00, "cell": [[1.988, 1.148, 4.912], [-1.988, 1.148, 4.912], [0.000, -2.296, 4.912]], "species": ["Mg", "Al", "F", "F"], "frac_coords": [[0.000, 0.000, 0.000], [0.500, 0.500, 0.500], [0.130, 0.130, 0.130], [0.870, 0.870, 0.870]]}

---

Version 2
{"formula": "MgAlF2", "functional": "PBE", "state": "relaxed", "magmom_total_mub_per_fu": 0.49, "cell": [[-2.885, 2.885, 4.678], [2.885, -2.885, 4.678], [2.885, 2.885, -4.678]], "species": ["Mg", "Mg", "Al", "Al", "F", "F", "F", "F"], "frac_coords": [[0.000, 0.000, 0.000], [0.750, 0.250, 0.500], [0.250, 0.750, 0.500], [0.500, 0.500, 0.000], [0.375, 0.181, 0.306], [0.819, 0.125, 0.194], [0.875, 0.069, 0.694], [0.931, 0.625, 0.806]]}

---

version 2 ends up most stable, edging out the next structure by 0.354 eV/atom.

---

Version 1
{"formula": "MgAlF2", "functional": "PBE", "state": "relaxed", "magmom_total_mub_per_fu": 0.00, "cell": [[0.000, 3.108, 3.108], [3.108, 0.000, 3.108], [3.108, 3.108, 0.000]], "species": ["Mg", "Al", "F", "F"], "frac_coords": [[0.000, 0.000, 0.000], [0.500, 0.500, 0.500], [0.250, 0.250, 0.250], [0.750, 0.750, 0.750]]}

---

Version 2
{"formula": "MgAlF2", "functional": "PBE", "state": "relaxed", "magmom_total_mub_per_fu": 0.00, "cell": [[1.498, 0.865, 8.967], [-1.498, 0.865, 8.967], [0.000, -1.730, 8.967]], "species": ["Mg", "Al", "F", "F"], "frac_coords": [[0.000, 0.000, 0.000], [0.500, 0.500, 0.500], [0.370, 0.370, 0.370], [0.630, 0.630, 0.630]]}

---

version 2 ends up most stable, edging out the next structure by 1.055 eV/atom.

---

Version 1
{"formula": "MgAlNF2", "functional": "PBE", "state": "relaxed", "magmom_total_mub_per_fu": 0.00, "cell": [[3.655, 0.000, 0.000], [0.000, 3.655, 0.000], [0.000, 0.000, 3.947]], "species": ["Mg", "Al", "N", "F", "F"], "frac_coords": [[0.000, 0.000, 0.000], [0.500, 0.500, 0.500], [0.500, 0.500, 0.000], [0.000, 0.500, 0.500], [0.500, 0.000, 0.500]]}

---

Version 2
{"formula": "MgAlNF2", "functional": "PBE", "state": "relaxed", "magmom_total_mub_per_fu": 0.12, "cell": [[3.576, 0.000, 0.000], [0.000, 3.576, 0.000], [0.000, 0.000, 4.729]], "species": ["Mg", "Al", "N", "F", "F"], "frac_coords": [[0.000, 0.000, 0.000], [0.500, 0.500, 0.500], [0.000, 0.000, 0.500], [0.000, 0.500, 0.000], [0.500, 0.000, 0.000]]}

---

version 1 ends up most stable, edging out the next structure by 0.569 eV/atom.